Ta2Tl | Alexandria | PBE-GGA | relaxed; energy relative to the elements = 496 meV/atom
1.0
3.022 0.000 0.000
-1.511 2.617 0.000
0.000 0.000 7.616
Tl Ta
1 2
Cartesian
0.000 0.000 0.000
1.511 0.872 5.060
0.000 1.745 2.556